An optimized crystal structure of ErZr3C, computed with PBE-GGA.

Summary:
**Volume**: 20.802 Å³ per atom
**Calculated formation energy**: -17.25 kJ/mol of atoms
**Final energy**: -40.3 eV per cell

Unit cell a=4.703 b=4.703 c=4.703 alpha=90.00 beta=90.00 gamma=90.00
Sites, in units of the cell vectors:
Er: 0.000 0.000 0.000
Zr: 0.000 0.500 0.500
Zr: 0.500 0.000 0.500
Zr: 0.500 0.500 0.000
C: 0.500 0.500 0.500